Record 1
{
  "formula": "Er3GaRu",
  "functional": "PBE-GGA",
  "state": "optimized geometry",
  "lattice_angstrom": [[6.745, 0.000, 0.000], [0.000, 4.985, 0.000], [-1.073, 0.000, 7.386]],
  "species": ["Er", "Er", "Er", "Er", "Er", "Er", "Ga", "Ga", "Ru", "Ru"],
  "frac_coords": [[0.000, 0.000, 0.000], [0.046, 0.500, 0.678], [0.302, 0.500, 0.279], [0.500, 0.500, 0.864], [0.574, 0.000, 0.524], [0.798, 0.500, 0.254], [0.088, 0.000, 0.412], [0.495, 0.000, 0.092], [0.268, 0.000, 0.759], [0.654, 0.500, 0.555]],
  "n_ef_per_ev_cell": 6.81,
  "sg": "No. 6"
}

=====

Record 2
{
  "formula": "Er4GaRu2",
  "functional": "PBE-GGA",
  "state": "optimized geometry",
  "lattice_angstrom": [[4.797, 0.000, 0.000], [0.000, 4.797, 0.000], [0.000, 0.000, 6.855]],
  "species": ["Er", "Er", "Er", "Er", "Ga", "Ru", "Ru"],
  "frac_coords": [[0.000, 0.500, 0.244], [0.000, 0.500, 0.756], [0.500, 0.000, 0.244], [0.500, 0.000, 0.756], [0.000, 0.000, 0.500], [0.000, 0.000, 0.000], [0.500, 0.500, 0.500]],
  "n_ef_per_ev_cell": 3.19,
  "sg": "No. 123"
}

=====

no.,relative energy among the computed polymorphs (eV/atom)
1,0.175
2,0.000